## Ba2RhF (PBE)

Data for Ba2RhF after structural relaxation.

extended XYZ file:
```
4
Lattice="0.0000 3.7382 3.7382 3.7382 0.0000 3.7382 3.7382 3.7382 0.0000" Properties=species:S:1:pos:R:3 pbc="T T T"
Ba 1.8691 1.8691 1.8691
Ba 5.6073 5.6073 5.6073
Rh 0.0000 0.0000 0.0000
F 3.7382 3.7382 3.7382
```

density of states at the Fermi level = 0.00 states/eV/cell
spin magnetization = 0.00 μB/cell
calculated volume = 104.5 Å³/f.u.
formation energy (no corrections) = -1204 meV per atom